1.
## ZrFeCuSn (PBE)

Data for ZrFeCuSn after structural relaxation.

Cell: 6.4992 6.4992 6.4992 Å, 90.00 90.00 90.00°
Space group F-43m (No. 216)
Unique sites:
Zr: 0.0000 0.0000 0.0000 x4
Fe: 0.2500 0.2500 0.7500 x4
Cu: 0.0000 0.0000 0.5000 x4
Sn: 0.2500 0.2500 0.2500 x4

- magnetic moment (μB/f.u.) = 1.757
- E (eV per atom) = -6.069
- polymorph energy (0 for the lowest one) (meV per atom) = 245

***

2.
## ZnGe (PBE)

Data for ZnGe after structural relaxation.

Cell: 2.9321 4.8020 5.0228 Å, 90.00 90.00 90.00°
Space group Pmmn (No. 59, origin choice 2)
Unique sites:
Zn: 0.2500 0.2500 0.0777 x2
Ge: 0.2500 0.7500 0.4100 x2

- E (eV per atom) = -2.713

***

3.
## Dy3InSn2Ir3 (PBE)

Data for Dy3InSn2Ir3 after structural relaxation.

Cell: 3.9230 12.9867 7.5538 Å, 90.00 90.00 90.00°
Space group Amm2 (No. 38)
Unique sites:
Dy: 0.0000 0.0000 0.0000 x2
Dy: 0.0000 0.2028 0.3906 x4
In: 0.5000 0.0000 0.3332 x2
Sn: 0.5000 0.1295 0.7226 x4
Ir: 0.0000 0.0000 0.5990 x2
Ir: 0.5000 0.1683 0.0896 x4

- magnetic moment (μB/f.u.) = 0.003
- E (eV per atom) = -6.475

***

4.
## Li2NbIn2MoOs2 (PBE)

Data for Li2NbIn2MoOs2 after structural relaxation.

Cell: 4.4742 4.4742 6.3247 Å, 90.00 90.00 90.00°
Space group P-4m2 (No. 115)
Unique sites:
Li: 0.0000 0.5000 0.2483 x2
Nb: 0.0000 0.0000 0.5000 x1
In: 0.0000 0.0000 0.0000 x1
In: 0.5000 0.5000 0.5000 x1
Mo: 0.5000 0.5000 0.0000 x1
Os: 0.0000 0.5000 0.7578 x2

- magnetic moment (μB/f.u.) = 0.018
- E (eV per atom) = -6.621